*P*
Density functional theory data (PBE) for an optimized crystal structure of NbAgPO2.

abc: 3.966 3.966 4.830
angles: 90.00 90.00 90.00
Each line ends with the local moment (μB).
Positions (direct):
Ag 0.000 0.000 0.000  -0.03
O 0.500 0.000 0.000  -0.09
P 0.000 0.000 0.500  -0.08
Nb 0.500 0.500 0.500  1.11
O 0.000 0.500 0.000  -0.09

Output
As for the size of the total moment: 0.94 μB per formula unit. The density of states at the Fermi level comes out at 4.44 states/eV/cell. The calculation puts the volume at 75.95 Å³/cell.

*Q*
Density functional theory data (PBE) for an optimized crystal structure of NbAgPO2.

abc: 3.883 3.883 5.472
angles: 90.00 90.00 90.00
Positions (direct):
Nb 0.000 0.000 0.000
Ag 0.500 0.500 0.500
O 0.500 0.000 0.000
P 0.000 0.000 0.500
O 0.000 0.500 0.000

Output
As for the size of the total moment: 0.00 μB per formula unit. The density of states at the Fermi level comes out at 1.31 states/eV/cell. The calculation puts the volume at 82.51 Å³/cell.

Verdict on stability: *P* comes out at the bottom.

*P*
Density functional theory data (PBE) for an optimized crystal structure of NbAgRh2O.

abc: 4.202 4.259 4.202
angles: 90.00 90.00 90.00
Positions (direct):
Nb 0.500 0.500 0.500
Rh 0.500 0.000 0.000
Ag 0.000 0.500 0.000
Rh 0.000 0.000 0.500
O 0.000 0.000 0.000

Output
As for the size of the total moment: 0.01 μB per formula unit. The density of states at the Fermi level comes out at 8.00 states/eV/cell. The calculation puts the volume at 75.18 Å³/cell.

*Q*
Density functional theory data (PBE) for an optimized crystal structure of NbAgRh2O.

abc: 4.657 5.264 4.657
angles: 90.00 90.00 90.00
Each line ends with the local moment (μB).
Positions (direct):
Nb 0.000 0.000 0.000  0.04
Ag 0.000 0.500 0.000  0.02
Rh 0.500 0.000 0.000  0.00
O 0.500 0.500 0.500  0.06
Rh 0.000 0.000 0.500  -0.06

Output
As for the size of the total moment: 0.09 μB per formula unit. The density of states at the Fermi level comes out at 5.92 states/eV/cell. The calculation puts the volume at 114.16 Å³/cell.

Verdict on stability: *Q* comes out at the bottom.

*P*
Density functional theory data (PBE) for an optimized crystal structure of TaNbAg2O6.

abc: 4.011 4.011 8.022
angles: 90.00 90.00 90.00
Positions (direct):
O 0.500 0.000 0.000
Ta 0.500 0.500 0.500
O 0.500 0.500 0.251
Ag 0.000 0.000 0.750
Nb 0.500 0.500 0.000
O 0.000 0.500 0.000
O 0.500 0.000 0.500
O 0.500 0.500 0.749
O 0.000 0.500 0.500
Ag 0.000 0.000 0.250

Output
As for the size of the total moment: 0.00 μB per formula unit. The calculation puts the volume at 129.06 Å³/cell.

*Q*
Density functional theory data (PBE) for an optimized crystal structure of TaNbAg2O6.

abc: 5.622 5.691 15.818
angles: 90.00 90.00 90.00
Positions (direct):
O 0.697 0.520 0.749
Ta 0.744 0.477 0.625
Nb 0.745 0.475 0.875
Nb 0.255 0.975 0.625
O 0.042 0.282 0.139
O 0.037 0.283 0.361
O 0.539 0.208 0.111
Ta 0.256 0.977 0.875
O 0.461 0.708 0.389
O 0.963 0.217 0.861
O 0.806 0.500 0.500
Ag 0.761 0.020 0.250
O 0.461 0.290 0.889
Ag 0.243 0.500 0.000
O 0.461 0.710 0.111
Ag 0.757 0.000 0.500
Ag 0.761 0.980 0.750
Nb 0.255 0.025 0.375
O 0.697 0.480 0.251
Ta 0.744 0.523 0.375
O 0.958 0.218 0.639
Ag 0.757 0.000 0.000
O 0.963 0.783 0.139
Ag 0.239 0.520 0.250
O 0.958 0.782 0.361
Ta 0.256 0.023 0.125
O 0.192 0.000 0.500
Ag 0.243 0.500 0.500
O 0.539 0.792 0.889
O 0.808 0.500 0.000
O 0.194 0.000 0.000
O 0.303 0.980 0.249
O 0.303 0.020 0.751
Nb 0.745 0.525 0.125
O 0.539 0.210 0.389
O 0.037 0.717 0.639
O 0.461 0.292 0.611
O 0.539 0.790 0.611
O 0.042 0.718 0.861
Ag 0.239 0.480 0.750

Output
As for the size of the total moment: 0.00 μB per formula unit. The density of states at the Fermi level comes out at 0.00 states/eV/cell. The calculation puts the volume at 506.09 Å³/cell.

Verdict on stability: *P* comes out at the bottom.

*P*
Density functional theory data (PBE) for an optimized crystal structure of NbAgOs2.

abc: 4.492 4.492 4.492
angles: 60.00 60.00 60.00
Positions (direct):
Os 0.750 0.750 0.750
Os 0.250 0.250 0.250
Ag 0.500 0.500 0.500
Nb 0.000 0.000 0.000

Output
As for the size of the total moment: 0.00 μB per formula unit. The density of states at the Fermi level comes out at 6.97 states/eV/cell. The calculation puts the volume at 64.11 Å³/cell.

*Q*
Density functional theory data (PBE) for an optimized crystal structure of NbAgOs2.

abc: 7.286 7.286 5.808
angles: 51.15 51.15 90.00
Positions (direct):
Os 0.603 0.125 0.250
Ag 0.750 0.250 0.500
Os 0.147 0.625 0.250
Os 0.375 0.397 0.750
Os 0.875 0.853 0.750
Nb 0.250 0.750 0.500
Nb 0.500 0.500 0.000
Ag 0.000 0.000 0.000

Output
As for the size of the total moment: 0.00 μB per formula unit. The density of states at the Fermi level comes out at 8.58 states/eV/cell. The calculation puts the volume at 142.37 Å³/cell.

Verdict on stability: *Q* comes out at the bottom.